Below is a geometry-optimized Sr2LiCa structure, with properties calculated at the PBE level.

Geometry as CIF:
```
data_Sr2LiCa
_chemical_formula_sum 'Sr4 Li2 Ca2'
_symmetry_space_group_name_H-M 'C m m m'
_symmetry_Int_Tables_number 65
_symmetry_space_group_name_Hall '-C 2 2'
_cell_length_a 8.846
_cell_length_b 8.886
_cell_length_c 4.470
_cell_angle_alpha 90.00
_cell_angle_beta 90.00
_cell_angle_gamma 90.00
loop_
_atom_site_label
_atom_site_fract_x
_atom_site_fract_y
_atom_site_fract_z
_atom_site_occupancy
Sr1 0.250 0.250 0.000 1
Li1 0.000 0.000 0.500 1
Ca1 0.000 0.500 0.500 1
```

## Properties
- Density: 2.100 Mg/m³
- Formation energy from the elements: 0.0560 eV/atom
- ΔE to the lowest computed polymorph: 40 meV per atom